{
  "formula": "CsGaCl2",
  "functional": "PBE",
  "state": "relaxed",
  "final_energy_ev_per_cell": -51.71,
  "formation_energy_uncorrected_ev_per_fu": -5.354,
  "cell": [[10.2101, 0.0000, 0.0000], [0.0000, 8.3886, -1.0189], [0.0000, -5.0366, 7.9643]],
  "species": ["Ga", "Ga", "Ga", "Ga", "Cl", "Cl", "Cl", "Cl", "Cl", "Cl", "Cl", "Cl", "Cs", "Cs", "Cs", "Cs"],
  "fractional_positions": [[0.6534, 0.2513, 0.0017], [0.1534, 0.2487, 0.4983], [0.8466, 0.7513, 0.5017], [0.3466, 0.7487, 0.9983], [0.3261, 0.2364, 0.2863], [0.8254, 0.2363, 0.7871], [0.3254, 0.2637, 0.7129], [0.6746, 0.7363, 0.2871], [0.1739, 0.7364, 0.7863], [0.6739, 0.7636, 0.7137], [0.8261, 0.2636, 0.2137], [0.1746, 0.7637, 0.2129], [0.1115, 0.2502, 0.0001], [0.8885, 0.7498, 0.9999], [0.6115, 0.2498, 0.4999], [0.3885, 0.7502, 0.5001]]
}